No. 1
Compound: Rb4HoU3Te8
Source: Alexandria via LeMat-Bulk
Functional: GGA-PBE
Structure: relaxed

formation energy (no corrections)	-0.96	eV per atom
VASP energy	-248.459	eV per cell

abc: 9.0616 9.0616 25.8194
angles: 90.00 90.00 120.00
Space group R-3m (No. 166, hexagonal axes)
Unique sites:
Rb 0.0000 0.0000 0.0000
Rb 0.0000 0.5000 0.0000
Ho 0.0000 0.0000 0.5000
U 0.0000 0.5000 0.5000
Te 0.0000 0.0000 0.2343
Te 0.0041 0.5020 0.2338


No. 2
Compound: Fe4Ir6Ru
Source: Alexandria via LeMat-Bulk
Functional: GGA-PBE
Structure: relaxed

calculated formation energy	389	meV per atom
VASP energy	-184.034	eV per cell

abc: 5.186 5.186 12.419
angles: 90.00 90.00 90.00
Space group I-42m (No. 121)
Unique sites:
Fe 0.212 0.212 0.171
Ir 0.000 0.500 0.000
Ir 0.191 0.191 0.363
Ru 0.000 0.000 0.000


No. 3
Compound: Sm3MgSc
Source: Alexandria via LeMat-Bulk
Functional: GGA-PBE
Structure: relaxed

calculated formation energy	78	meV per atom
VASP energy	-86.782	eV per cell

abc: 22.300 3.465 8.323
angles: 90.00 108.09 90.00
Space group C2/m (No. 12)
Unique sites:
Sm 0.018 0.000 0.222
Sm 0.125 0.500 0.036
Sm 0.178 0.000 0.445
Mg 0.078 0.500 0.602
Sc 0.235 0.500 0.825


No. 4
Compound: YCd2Pb
Source: Alexandria via LeMat-Bulk
Functional: GGA-PBE
Structure: relaxed

calculated formation energy	-208	meV per atom
VASP energy	-25.672	eV per cell

abc: 4.615 4.615 9.743
angles: 90.00 90.00 90.00
Space group I-4m2 (No. 119)
Unique sites:
Y 0.000 0.000 0.000
Cd 0.000 0.000 0.500
Cd 0.000 0.500 0.250
Pb 0.000 0.500 0.750


No. 5
Compound: Rb4PuNp3S8
Source: Alexandria via LeMat-Bulk
Functional: GGA-PBE
Structure: relaxed

formation energy (no corrections)	-1.43	eV per atom
VASP energy	-338.599	eV per cell

abc: 8.2448 8.2448 22.9829
angles: 90.00 90.00 120.00
Space group R-3m (No. 166, hexagonal axes)
Unique sites:
Rb 0.0000 0.0000 0.0000
Rb 0.0000 0.5000 0.0000
Pu 0.0000 0.0000 0.5000
Np 0.0000 0.5000 0.5000
S 0.0000 0.0000 0.2299
S 0.0034 0.5017 0.7700


No. 6
Compound: Cd2CuF8
Source: Alexandria via LeMat-Bulk
Functional: GGA-PBE
Structure: relaxed

formation energy (no corrections)	-1.53	eV per atom
VASP energy	-75.388	eV per cell

abc: 13.158 4.215 4.955
angles: 90.00 108.91 90.00
Space group C2/m (No. 12)
Unique sites:
Cd 0.167 0.000 0.153
Cu 0.000 0.500 0.500
F 0.014 0.000 0.269
F 0.086 0.500 0.869
F 0.127 0.500 0.423
F 0.230 0.000 0.781


No. 7
Compound: Sr2InSiH
Source: Alexandria via LeMat-Bulk
Functional: GGA-PBE
Structure: relaxed

VASP energy	-13.799	eV per cell

abc: 6.036 6.036 5.090
angles: 90.00 90.00 90.00
Space group P4/mmm (No. 123)
Unique sites:
Sr 0.000 0.500 0.000
In 0.000 0.000 0.500
Si 0.000 0.000 0.000
H 0.500 0.500 0.500


No. 8
Compound: CdInB
Source: Alexandria via LeMat-Bulk
Functional: GGA-PBE
Structure: relaxed

calculated formation energy	285	meV per atom
VASP energy	-18.950	eV per cell

abc: 3.171 6.379 6.925
angles: 116.36 101.31 94.01
Space group P1 (No. 1)
Unique sites:
Cd 0.000 0.000 0.000
Cd 0.243 0.744 0.488
In 0.516 0.610 0.047
In 0.710 0.308 0.441
B 0.188 0.185 0.757
B 0.675 0.173 0.731


No. 9
Compound: RbBa2LaPt
Source: Alexandria via LeMat-Bulk
Functional: GGA-PBE
Structure: relaxed

calculated formation energy	-298	meV per atom
VASP energy	-17.272	eV per cell

abc: 6.613 6.613 5.669
angles: 90.00 90.00 90.00
Space group P4/mmm (No. 123)
Unique sites:
Rb 0.000 0.000 0.000
Ba 0.000 0.500 0.500
La 0.500 0.500 0.000
Pt 0.500 0.500 0.500


No. 10
Compound: CoOsS2
Source: Alexandria via LeMat-Bulk
Functional: GGA-PBE
Structure: relaxed

formation energy (no corrections)	-0.04	eV per atom
VASP energy	-106.978	eV per cell

abc: 5.087 5.087 10.275
angles: 90.00 90.00 90.00
Space group I-42d (No. 122)
Unique sites:
Co 0.000 0.000 0.000
Os 0.000 0.000 0.500
S 0.236 0.250 0.125


No. 11
Compound: Be2Rh2Pb
Source: Alexandria via LeMat-Bulk
Functional: GGA-PBE
Structure: relaxed

calculated formation energy	-162	meV per atom
VASP energy	-53.344	eV per cell

abc: 6.768 6.768 2.963
angles: 90.00 90.00 90.00
Space group P4/mbm (No. 127)
Unique sites:
Be 0.117 0.383 0.000
Rh 0.161 0.661 0.500
Pb 0.000 0.000 0.000


Which of these has the lowest VASP energy?
Rb4PuNp3S8


What is the VASP energy in the sixth record?
-75.388 eV per cell


Which of these has the lowest VASP energy?
Rb4PuNp3S8